Material: SmEuHgBi
Method: DFT, PBE
State: relaxed

a b c (Å): 5.5312 5.5312 5.5312
angles (deg): 60.00 60.00 60.00
Last column: nearest neighbours and their distance in Å.
Positions (direct):
Sm (0.0000, 0.0000, 0.0000)  4 Hg 3.39, 4 Bi 3.39
Eu (0.5000, 0.5000, 0.5000)  4 Hg 3.39, 4 Bi 3.39
Hg (0.2500, 0.2500, 0.2500)  4 Sm 3.39, 4 Eu 3.39
Bi (0.7500, 0.7500, 0.7500)  4 Sm 3.39, 4 Eu 3.39

Results
DFT formation energy: -0.59 eV per atom


Material: EuSnHgBi
Method: DFT, PBE
State: relaxed

a b c (Å): 5.5246 5.5246 5.5246
angles (deg): 60.00 60.00 60.00
Last column: nearest neighbours and their distance in Å.
Positions (direct):
Eu (0.0000, 0.0000, 0.0000)  4 Hg 3.38, 4 Bi 3.38
Sn (0.5000, 0.5000, 0.5000)  4 Bi 3.38, 4 Hg 3.38
Hg (0.2500, 0.2500, 0.2500)  4 Sn 3.38, 4 Eu 3.38
Bi (0.7500, 0.7500, 0.7500)  4 Eu 3.38, 4 Sn 3.38

Results
DFT formation energy: -0.36 eV per atom


Material: SrEuHgBi
Method: DFT, PBE
State: relaxed

a b c (Å): 5.7209 5.7209 5.7209
angles (deg): 60.00 60.00 60.00
Last column: nearest neighbours and their distance in Å.
Positions (direct):
Sr (0.0000, 0.0000, 0.0000)  4 Bi 3.50, 4 Hg 3.50
Eu (0.5000, 0.5000, 0.5000)  4 Bi 3.50, 4 Hg 3.50
Hg (0.2500, 0.2500, 0.2500)  4 Sr 3.50, 4 Eu 3.50
Bi (0.7500, 0.7500, 0.7500)  4 Sr 3.50, 4 Eu 3.50

Results
DFT formation energy: -0.70 eV per atom


Material: TbEuHgBi
Method: DFT, PBE
State: relaxed

a b c (Å): 5.4927 5.4927 5.4927
angles (deg): 60.00 60.00 60.00
Last column: nearest neighbours and their distance in Å.
Positions (direct):
Tb (0.0000, 0.0000, 0.0000)  4 Bi 3.36, 4 Hg 3.36
Eu (0.5000, 0.5000, 0.5000)  4 Bi 3.36, 4 Hg 3.36
Hg (0.2500, 0.2500, 0.2500)  4 Tb 3.36, 4 Eu 3.36
Bi (0.7500, 0.7500, 0.7500)  4 Tb 3.36, 4 Eu 3.36

Results
DFT formation energy: -0.56 eV per atom


Material: EuTlHgBi
Method: DFT, PBE
State: relaxed

a b c (Å): 5.6328 5.6328 5.6328
angles (deg): 60.00 60.00 60.00
Last column: nearest neighbours and their distance in Å.
Positions (direct):
Eu (0.0000, 0.0000, 0.0000)  4 Hg 3.45, 4 Bi 3.45
Tl (0.5000, 0.5000, 0.5000)  4 Hg 3.45, 4 Bi 3.45
Hg (0.2500, 0.2500, 0.2500)  4 Tl 3.45, 4 Eu 3.45
Bi (0.7500, 0.7500, 0.7500)  4 Tl 3.45, 4 Eu 3.45

Results
DFT formation energy: -0.41 eV per atom


Material: EuYHgBi
Method: DFT, PBE
State: relaxed

a b c (Å): 5.4883 5.4883 5.4883
angles (deg): 60.00 60.00 60.00
Last column: nearest neighbours and their distance in Å.
Positions (direct):
Eu (0.0000, 0.0000, 0.0000)  4 Bi 3.36, 4 Hg 3.36
Y (0.5000, 0.5000, 0.5000)  4 Hg 3.36, 4 Bi 3.36
Hg (0.2500, 0.2500, 0.2500)  4 Y 3.36, 4 Eu 3.36
Bi (0.7500, 0.7500, 0.7500)  4 Y 3.36, 4 Eu 3.36

Results
DFT formation energy: -0.57 eV per atom


Number 1: DFT total energy -21.54 eV/f.u.. Number 2: DFT total energy -19.90 eV/f.u.. Number 3: DFT total energy -18.93 eV/f.u.. Number 4: DFT total energy -21.34 eV/f.u.. Number 5: DFT total energy -18.45 eV/f.u.. Number 6: DFT total energy -23.21 eV/f.u..